(1)
This record from Alexandria via LeMat-Bulk describes TaMn3Cd at its PBEsol-relaxed geometry. The functional is SCAN.

Calculated values
For the total energy, the calculation gives -146.63 eV per cell. As for the crystal system: cubic.

Cell and atoms, written as POSCAR:
```
TaMn3Cd
1.0
4.600 0.000 0.000
0.000 4.600 0.000
0.000 0.000 4.600
Ta Mn Cd
1 3 1
direct
0.000 0.000 0.000
0.000 0.000 0.500
0.000 0.500 0.000
0.500 0.000 0.000
0.500 0.500 0.500
```

(2)
This record from Alexandria via LeMat-Bulk describes TaMn2Cd at its PBEsol-relaxed geometry. The functional is SCAN.

Calculated values
For the total energy, the calculation gives -133.07 eV per cell. As for the crystal system: trigonal.

Cell and atoms, written as POSCAR:
```
TaMn2Cd
1.0
1.435 0.829 8.964
-1.435 0.829 8.964
0.000 -1.657 8.964
Ta Mn Cd
1 2 1
direct
0.000 0.000 0.000
0.254 0.254 0.254
0.746 0.746 0.746
0.500 0.500 0.500
```

(3)
This record from Alexandria via LeMat-Bulk describes TaMnCd2 at its PBEsol-relaxed geometry. The functional is SCAN.

Calculated values
The energy above the lowest structure with this stoichiometry comes out at 32.5 kJ/mol of atoms. As for the crystal system: cubic.

Cell and atoms, written as POSCAR:
```
TaMnCd2
1.0
0.000 3.263 3.263
3.263 0.000 3.263
3.263 3.263 0.000
Ta Mn Cd
1 1 2
direct
0.000 0.000 0.000
0.500 0.500 0.500
0.250 0.250 0.250
0.750 0.750 0.750
```

(4)
This record from Alexandria via LeMat-Bulk describes TaMnCd2 at its PBEsol-relaxed geometry. The functional is SCAN.

Calculated values
The energy above the lowest structure with this stoichiometry comes out at 0.0 kJ/mol of atoms. As for the crystal system: orthorhombic.

Cell and atoms, written as POSCAR:
```
TaMnCd2
1.0
1.856 -2.143 0.000
1.856 2.143 0.000
0.000 0.000 8.736
Ta Mn Cd
1 1 2
direct
0.000 0.000 0.000
0.500 0.500 0.784
0.000 0.000 0.546
0.500 0.500 0.267
```

(5)
This record from Alexandria via LeMat-Bulk describes Mn2CdTc at its PBEsol-relaxed geometry. The functional is SCAN.

Calculated values
For the total energy, the calculation gives -101.34 eV per cell. As for the crystal system: trigonal.

Cell and atoms, written as POSCAR:
```
Mn2CdTc
1.0
1.358 0.784 8.713
-1.358 0.784 8.713
0.000 -1.568 8.713
Mn Cd Tc
2 1 1
direct
0.243 0.243 0.243
0.757 0.757 0.757
0.000 0.000 0.000
0.500 0.500 0.500
```

(6)
This record from Alexandria via LeMat-Bulk describes Mn2CdTc at its PBEsol-relaxed geometry. The functional is SCAN.

Calculated values
For the total energy, the calculation gives -100.88 eV per cell. As for the crystal system: monoclinic.

Cell and atoms, written as POSCAR:
```
Mn2CdTc
1.0
4.627 -1.389 0.000
4.627 1.389 0.000
-1.459 0.000 4.255
Mn Cd Tc
2 1 1
direct
0.000 0.000 0.000
0.722 0.722 0.248
0.488 0.488 0.492
0.267 0.267 0.806
```